## Mn2CF (PBE with a Hubbard U)

Data for a relaxed Mn2CF crystal.

abc: 5.0656 5.0656 9.7024
angles: 90.00 90.00 90.00
Space group I-42d (No. 122)
One atom of each set of equivalent atoms:
1 Mn 0.2104 0.2500 0.1250 [8 per cell]
2 C 0.0000 0.0000 0.0000 [4 per cell]
3 F 0.0000 0.0000 0.5000 [4 per cell]

Calculated values
- Calculated volume: 249 Å³ per cell
- Raw total energy: -107.9 eV for the cell shown